Entry from the Alexandria database: a relaxed structure of LiInCoCu (PBE-GGA).

* Fermi-level density of states: 2.97 states/eV/f.u.
* V: 55.6 Å³/cell
* E_form: 0.022 eV per atom
* space-group type: F-43m (216)
* spin magnetization: 0.44 μB/f.u.

Cell lengths 4.2852, 4.2852, 4.2852 Å; angles 60.00, 60.00, 60.00 degrees
Closest atoms and distances in Å follow each position.
Sites, in units of the cell vectors:
Cu  0.2500  0.2500  0.2500  4 Li 2.62, 4 Co 2.62
Co  0.0000  0.0000  0.0000  4 Cu 2.62, 4 In 2.62
Li  0.5000  0.5000  0.5000  4 In 2.62, 4 Cu 2.62
In  0.7500  0.7500  0.7500  4 Co 2.62, 4 Li 2.62

=====

Entry from the Alexandria database: a relaxed structure of Sr2ScTa (PBE-GGA).

* Fermi-level density of states: 5.27 states/eV/f.u.
* V: 124.6 Å³/cell
* E_form: 0.925 eV per atom
* space-group type: Immm (71)
* energy above the most stable polymorph in this dataset: 0.3887 eV per atom
* spin magnetization: 2.92 μB/f.u.

Cell lengths 6.6019, 6.6019, 6.6019 Å; angles 143.16, 133.15, 61.04 degrees
Closest atoms and distances in Å follow each position.
Sites, in units of the cell vectors:
Sc  0.2500  0.7500  0.5000  4 Ta 3.35, 8 Sr 3.71
Sr  0.9801  0.9801  0.0000  2 Ta 3.35, 4 Sr 3.38, 4 Sc 3.71
Sr  0.5199  0.5199  0.0000  2 Ta 3.35, 4 Sr 3.38, 4 Sc 3.71
Ta  0.7500  0.2500  0.5000  4 Sr 3.35, 4 Sc 3.35

=====

Entry from the Alexandria database: a relaxed structure of ErNpBi2 (PBE-GGA).

* Fermi-level density of states: 12.17 states/eV/f.u.
* V: 114.2 Å³/cell
* E_form: -0.215 eV per atom
* space-group type: P4/mmm (123)
* energy above the most stable polymorph in this dataset: 0.1276 eV per atom
* spin magnetization: 4.88 μB/f.u.

Cell lengths 4.0383, 4.0383, 7.0008 Å; angles 90.00, 90.00, 90.00 degrees
Closest atoms and distances in Å follow each position.
Sites, in units of the cell vectors:
Bi  0.0000  0.0000  0.7521  4 Er 3.34, 4 Np 3.36, 2 Bi 3.47-3.53
Bi  0.0000  0.0000  0.2479  4 Er 3.34, 4 Np 3.36, 2 Bi 3.47-3.53
Er  0.5000  0.5000  0.0000  8 Bi 3.34, 2 Np 3.50
Np  0.5000  0.5000  0.5000  8 Bi 3.36, 2 Er 3.50

=====

Which formula does entry 3 have? ErNpBi2

=====

What is the formula in the first record? LiInCoCu

=====

spin magnetization of number 3 (ErNpBi2)? 4.88 μB/f.u.